i:
DFT (GGA-PBE) results for a relaxed ScBe2Ru2 crystal.

## Properties
Space-group type: P4/mbm (127)
Density of states at the Fermi level in states/eV/cell: 12.02
Crystal system: tetragonal
Volume in Å³/atom: 12.46

Structure (CIF):
```
data_ScBe2Ru2
_cell_length_a 6.350
_cell_length_b 6.350
_cell_length_c 3.089
_cell_angle_alpha 90.00
_cell_angle_beta 90.00
_cell_angle_gamma 90.00
_symmetry_space_group_name_H-M 'P 1'
_symmetry_Int_Tables_number 1
_symmetry_space_group_name_Hall 'P 1'
loop_
_atom_site_label
_atom_site_type_symbol
_atom_site_fract_x
_atom_site_fract_y
_atom_site_fract_z
_atom_site_occupancy
Sc1 Sc 0.000 0.000 0.000 1
Sc2 Sc 0.500 0.500 0.000 1
Be1 Be 0.116 0.384 0.000 1
Be2 Be 0.384 0.884 0.000 1
Be3 Be 0.616 0.116 0.000 1
Be4 Be 0.884 0.616 0.000 1
Ru1 Ru 0.170 0.670 0.500 1
Ru2 Ru 0.330 0.170 0.500 1
Ru3 Ru 0.670 0.830 0.500 1
Ru4 Ru 0.830 0.330 0.500 1
```

---

ii:
DFT (GGA-PBE) results for a relaxed ScBe2Ru2 crystal.

## Properties
Space-group type: P4/mbm (127)
Density of states at the Fermi level in states/eV/cell: 7.96
Crystal system: tetragonal
Volume in Å³/atom: 13.04

Structure (CIF):
```
data_ScBe2Ru2
_cell_length_a 6.678
_cell_length_b 6.678
_cell_length_c 2.924
_cell_angle_alpha 90.00
_cell_angle_beta 90.00
_cell_angle_gamma 90.00
_symmetry_space_group_name_H-M 'P 1'
_symmetry_Int_Tables_number 1
_symmetry_space_group_name_Hall 'P 1'
loop_
_atom_site_label
_atom_site_type_symbol
_atom_site_fract_x
_atom_site_fract_y
_atom_site_fract_z
_atom_site_occupancy
Sc1 Sc 0.000 0.000 0.000 1
Sc2 Sc 0.500 0.500 0.000 1
Be1 Be 0.134 0.366 0.500 1
Be2 Be 0.366 0.866 0.500 1
Be3 Be 0.634 0.134 0.500 1
Be4 Be 0.866 0.634 0.500 1
Ru1 Ru 0.151 0.651 0.000 1
Ru2 Ru 0.349 0.151 0.000 1
Ru3 Ru 0.651 0.849 0.000 1
Ru4 Ru 0.849 0.349 0.000 1
```

---

iii:
DFT (GGA-PBE) results for a relaxed ScBe2Ru2 crystal.

## Properties
Space-group type: I4/mmm (139)
Density of states at the Fermi level in states/eV/cell: 4.50
Crystal system: tetragonal
Volume in Å³/atom: 14.01

Structure (CIF):
```
data_ScBe2Ru2
_cell_length_a 5.208
_cell_length_b 5.208
_cell_length_c 5.208
_cell_angle_alpha 134.80
_cell_angle_beta 134.80
_cell_angle_gamma 65.84
_symmetry_space_group_name_H-M 'P 1'
_symmetry_Int_Tables_number 1
_symmetry_space_group_name_Hall 'P 1'
loop_
_atom_site_label
_atom_site_type_symbol
_atom_site_fract_x
_atom_site_fract_y
_atom_site_fract_z
_atom_site_occupancy
Sc1 Sc 0.000 0.000 0.000 1
Be1 Be 0.250 0.750 0.500 1
Be2 Be 0.750 0.250 0.500 1
Ru1 Ru 0.364 0.364 0.000 1
Ru2 Ru 0.636 0.636 0.000 1
```

---

Which structure wins on stability? i wins.

---

i:
DFT (GGA-PBE) results for a relaxed BeRu2Se crystal.

## Properties
Space-group type: Fm-3m (225)
Density of states at the Fermi level in states/eV/cell: 1.22
Crystal system: cubic
Volume in Å³/atom: 12.79

Structure (CIF):
```
data_BeRu2Se
_cell_length_a 4.167
_cell_length_b 4.167
_cell_length_c 4.167
_cell_angle_alpha 60.00
_cell_angle_beta 60.00
_cell_angle_gamma 60.00
_symmetry_space_group_name_H-M 'P 1'
_symmetry_Int_Tables_number 1
_symmetry_space_group_name_Hall 'P 1'
loop_
_atom_site_label
_atom_site_type_symbol
_atom_site_fract_x
_atom_site_fract_y
_atom_site_fract_z
_atom_site_occupancy
Be1 Be 0.000 0.000 0.000 1
Ru1 Ru 0.250 0.250 0.250 1
Ru2 Ru 0.750 0.750 0.750 1
Se1 Se 0.500 0.500 0.500 1
```

---

ii:
DFT (GGA-PBE) results for a relaxed BeRu2Se crystal.

## Properties
Space-group type: P4mm (99)
Density of states at the Fermi level in states/eV/cell: 3.63
Crystal system: tetragonal
Volume in Å³/atom: 13.44

Structure (CIF):
```
data_BeRu2Se
_cell_length_a 3.066
_cell_length_b 3.066
_cell_length_c 5.717
_cell_angle_alpha 90.00
_cell_angle_beta 90.00
_cell_angle_gamma 90.00
_symmetry_space_group_name_H-M 'P 1'
_symmetry_Int_Tables_number 1
_symmetry_space_group_name_Hall 'P 1'
loop_
_atom_site_label
_atom_site_type_symbol
_atom_site_fract_x
_atom_site_fract_y
_atom_site_fract_z
_atom_site_occupancy
Be1 Be 0.000 0.000 0.000 1
Ru1 Ru 0.000 0.000 0.459 1
Ru2 Ru 0.500 0.500 0.118 1
Se1 Se 0.500 0.500 0.689 1
```

---

iii:
DFT (GGA-PBE) results for a relaxed BeRu2Se crystal.

## Properties
Space-group type: Cm (8)
Density of states at the Fermi level in states/eV/cell: 2.09
Crystal system: monoclinic
Volume in Å³/atom: 13.36

Structure (CIF):
```
data_BeRu2Se
_cell_length_a 4.479
_cell_length_b 4.479
_cell_length_c 4.462
_cell_angle_alpha 105.56
_cell_angle_beta 105.56
_cell_angle_gamma 38.52
_symmetry_space_group_name_H-M 'P 1'
_symmetry_Int_Tables_number 1
_symmetry_space_group_name_Hall 'P 1'
loop_
_atom_site_label
_atom_site_type_symbol
_atom_site_fract_x
_atom_site_fract_y
_atom_site_fract_z
_atom_site_occupancy
Be1 Be 0.000 0.000 0.000 1
Ru1 Ru 0.270 0.270 0.953 1
Ru2 Ru 0.504 0.504 0.559 1
Se1 Se 0.755 0.755 0.382 1
```

---

iv:
DFT (GGA-PBE) results for a relaxed BeRu2Se crystal.

## Properties
Space-group type: Imm2 (44)
Density of states at the Fermi level in states/eV/cell: 3.64
Crystal system: orthorhombic
Volume in Å³/atom: 13.48

Structure (CIF):
```
data_BeRu2Se
_cell_length_a 5.097
_cell_length_b 5.097
_cell_length_c 5.097
_cell_angle_alpha 146.32
_cell_angle_beta 132.20
_cell_angle_gamma 59.75
_symmetry_space_group_name_H-M 'P 1'
_symmetry_Int_Tables_number 1
_symmetry_space_group_name_Hall 'P 1'
loop_
_atom_site_label
_atom_site_type_symbol
_atom_site_fract_x
_atom_site_fract_y
_atom_site_fract_z
_atom_site_occupancy
Be1 Be 0.000 0.000 0.000 1
Ru1 Ru 0.219 0.719 0.500 1
Ru2 Ru 0.497 0.497 0.000 1
Se1 Se 0.734 0.234 0.500 1
```

---

Which structure wins on stability? i wins.

---

i:
DFT (GGA-PBE) results for a relaxed BeRu2Se crystal.

## Properties
Space-group type: P2/m (10)
Density of states at the Fermi level in states/eV/cell: 2.86
Crystal system: monoclinic
Volume in Å³/atom: 14.56

Structure (CIF):
```
data_BeRu2Se
_cell_length_a 2.908
_cell_length_b 3.895
_cell_length_c 5.338
_cell_angle_alpha 90.00
_cell_angle_beta 105.56
_cell_angle_gamma 90.00
_symmetry_space_group_name_H-M 'P 1'
_symmetry_Int_Tables_number 1
_symmetry_space_group_name_Hall 'P 1'
loop_
_atom_site_label
_atom_site_type_symbol
_atom_site_fract_x
_atom_site_fract_y
_atom_site_fract_z
_atom_site_occupancy
Be1 Be 0.000 0.000 0.000 1
Ru1 Ru 0.375 0.500 0.211 1
Ru2 Ru 0.625 0.500 0.789 1
Se1 Se 0.500 0.000 0.500 1
```

---

ii:
DFT (GGA-PBE) results for a relaxed BeRu2Se crystal.

## Properties
Space-group type: R-3m (166)
Density of states at the Fermi level in states/eV/cell: 3.87
Crystal system: trigonal
Volume in Å³/atom: 13.47

Structure (CIF):
```
data_BeRu2Se
_cell_length_a 7.011
_cell_length_b 7.011
_cell_length_c 7.011
_cell_angle_alpha 24.93
_cell_angle_beta 24.93
_cell_angle_gamma 24.93
_symmetry_space_group_name_H-M 'P 1'
_symmetry_Int_Tables_number 1
_symmetry_space_group_name_Hall 'P 1'
loop_
_atom_site_label
_atom_site_type_symbol
_atom_site_fract_x
_atom_site_fract_y
_atom_site_fract_z
_atom_site_occupancy
Be1 Be 0.000 0.000 0.000 1
Ru1 Ru 0.261 0.261 0.261 1
Ru2 Ru 0.739 0.739 0.739 1
Se1 Se 0.500 0.500 0.500 1
```

---

Which structure wins on stability? ii wins.

---

i:
DFT (GGA-PBE) results for a relaxed BeRu2Se crystal.

## Properties
Space-group type: P4/mmm (123)
Density of states at the Fermi level in states/eV/cell: 2.33
Crystal system: tetragonal
Volume in Å³/atom: 12.87

Structure (CIF):
```
data_BeRu2Se
_cell_length_a 2.964
_cell_length_b 2.964
_cell_length_c 5.858
_cell_angle_alpha 90.00
_cell_angle_beta 90.00
_cell_angle_gamma 90.00
_symmetry_space_group_name_H-M 'P 1'
_symmetry_Int_Tables_number 1
_symmetry_space_group_name_Hall 'P 1'
loop_
_atom_site_label
_atom_site_type_symbol
_atom_site_fract_x
_atom_site_fract_y
_atom_site_fract_z
_atom_site_occupancy
Be1 Be 0.000 0.000 0.000 1
Ru1 Ru 0.500 0.500 0.238 1
Ru2 Ru 0.500 0.500 0.762 1
Se1 Se 0.000 0.000 0.500 1
```

---

ii:
DFT (GGA-PBE) results for a relaxed BeRu2Se crystal.

## Properties
Space-group type: I-42d (122)
Density of states at the Fermi level in states/eV/cell: 1.31
Crystal system: tetragonal
Volume in Å³/atom: 17.46

Structure (CIF):
```
data_BeRu2Se
_cell_length_a 6.305
_cell_length_b 6.305
_cell_length_c 6.305
_cell_angle_alpha 130.98
_cell_angle_beta 130.98
_cell_angle_gamma 71.85
_symmetry_space_group_name_H-M 'P 1'
_symmetry_Int_Tables_number 1
_symmetry_space_group_name_Hall 'P 1'
loop_
_atom_site_label
_atom_site_type_symbol
_atom_site_fract_x
_atom_site_fract_y
_atom_site_fract_z
_atom_site_occupancy
Be1 Be 0.000 0.000 0.000 1
Be2 Be 0.750 0.250 0.500 1
Ru1 Ru 0.096 0.625 0.971 1
Ru2 Ru 0.375 0.346 0.471 1
Ru3 Ru 0.654 0.125 0.029 1
Ru4 Ru 0.875 0.904 0.529 1
Se1 Se 0.250 0.750 0.500 1
Se2 Se 0.500 0.500 0.000 1
```

---

iii:
DFT (GGA-PBE) results for a relaxed BeRu2Se crystal.

## Properties
Space-group type: C2/m (12)
Density of states at the Fermi level in states/eV/cell: 2.54
Crystal system: monoclinic
Volume in Å³/atom: 13.42

Structure (CIF):
```
data_BeRu2Se
_cell_length_a 4.169
_cell_length_b 4.169
_cell_length_c 4.830
_cell_angle_alpha 101.78
_cell_angle_beta 101.78
_cell_angle_gamma 40.93
_symmetry_space_group_name_H-M 'P 1'
_symmetry_Int_Tables_number 1
_symmetry_space_group_name_Hall 'P 1'
loop_
_atom_site_label
_atom_site_type_symbol
_atom_site_fract_x
_atom_site_fract_y
_atom_site_fract_z
_atom_site_occupancy
Be1 Be 0.000 0.000 0.000 1
Ru1 Ru 0.260 0.260 0.767 1
Ru2 Ru 0.740 0.740 0.233 1
Se1 Se 0.500 0.500 0.500 1
```

---

iv:
DFT (GGA-PBE) results for a relaxed BeRu2Se crystal.

## Properties
Space-group type: Pmmm (47)
Density of states at the Fermi level in states/eV/cell: 2.94
Crystal system: orthorhombic
Volume in Å³/atom: 13.79

Structure (CIF):
```
data_BeRu2Se
_cell_length_a 3.075
_cell_length_b 3.860
_cell_length_c 4.648
_cell_angle_alpha 90.00
_cell_angle_beta 90.00
_cell_angle_gamma 90.00
_symmetry_space_group_name_H-M 'P 1'
_symmetry_Int_Tables_number 1
_symmetry_space_group_name_Hall 'P 1'
loop_
_atom_site_label
_atom_site_type_symbol
_atom_site_fract_x
_atom_site_fract_y
_atom_site_fract_z
_atom_site_occupancy
Be1 Be 0.000 0.000 0.000 1
Ru1 Ru 0.000 0.500 0.500 1
Ru2 Ru 0.500 0.500 0.000 1
Se1 Se 0.500 0.000 0.500 1
```

---

Which structure wins on stability? i wins.

---

i:
DFT (GGA-PBE) results for a relaxed BeRu2Se crystal.

## Properties
Space-group type: F-43m (216)
Density of states at the Fermi level in states/eV/cell: 3.78
Crystal system: cubic
Volume in Å³/atom: 13.93

Structure (CIF):
```
data_BeRu2Se
_cell_length_a 4.287
_cell_length_b 4.287
_cell_length_c 4.287
_cell_angle_alpha 60.00
_cell_angle_beta 60.00
_cell_angle_gamma 60.00
_symmetry_space_group_name_H-M 'P 1'
_symmetry_Int_Tables_number 1
_symmetry_space_group_name_Hall 'P 1'
loop_
_atom_site_label
_atom_site_type_symbol
_atom_site_fract_x
_atom_site_fract_y
_atom_site_fract_z
_atom_site_occupancy
Be1 Be 0.000 0.000 0.000 1
Ru1 Ru 0.500 0.500 0.500 1
Ru2 Ru 0.750 0.750 0.750 1
Se1 Se 0.250 0.250 0.250 1
```

---

ii:
DFT (GGA-PBE) results for a relaxed BeRu2Se crystal.

## Properties
Space-group type: Cmmm (65)
Density of states at the Fermi level in states/eV/cell: 3.82
Crystal system: orthorhombic
Volume in Å³/atom: 13.73

Structure (CIF):
```
data_BeRu2Se
_cell_length_a 2.800
_cell_length_b 2.800
_cell_length_c 7.803
_cell_angle_alpha 90.00
_cell_angle_beta 90.00
_cell_angle_gamma 116.16
_symmetry_space_group_name_H-M 'P 1'
_symmetry_Int_Tables_number 1
_symmetry_space_group_name_Hall 'P 1'
loop_
_atom_site_label
_atom_site_type_symbol
_atom_site_fract_x
_atom_site_fract_y
_atom_site_fract_z
_atom_site_occupancy
Be1 Be 0.000 0.000 0.000 1
Ru1 Ru 0.500 0.500 0.217 1
Ru2 Ru 0.500 0.500 0.783 1
Se1 Se 0.000 0.000 0.500 1
```

---

iii:
DFT (GGA-PBE) results for a relaxed BeRu2Se crystal.

## Properties
Space-group type: Immm (71)
Density of states at the Fermi level in states/eV/cell: 2.89
Crystal system: orthorhombic
Volume in Å³/atom: 13.38

Structure (CIF):
```
data_BeRu2Se
_cell_length_a 4.703
_cell_length_b 4.703
_cell_length_c 4.703
_cell_angle_alpha 142.07
_cell_angle_beta 121.49
_cell_angle_gamma 71.88
_symmetry_space_group_name_H-M 'P 1'
_symmetry_Int_Tables_number 1
_symmetry_space_group_name_Hall 'P 1'
loop_
_atom_site_label
_atom_site_type_symbol
_atom_site_fract_x
_atom_site_fract_y
_atom_site_fract_z
_atom_site_occupancy
Be1 Be 0.000 0.000 0.000 1
Ru1 Ru 0.216 0.716 0.500 1
Ru2 Ru 0.784 0.284 0.500 1
Se1 Se 0.500 0.500 0.000 1
```

---

Which structure wins on stability? iii wins.